Record 1
A plane-wave DFT calculation with GGA-PBE was carried out for a relaxed Sr3LaRu crystal. Values from VASP.

Distance to the lowest polymorph of the same formula in meV/atom: 1232
Energy of formation in eV/atom: 1.6318

```
&SYSTEM
  ibrav = 0, nat = 5, ntyp = 3
/
ATOMIC_SPECIES
Sr 87.62 Sr.upf
La 138.91 La.upf
Ru 101.07 Ru.upf
CELL_PARAMETERS angstrom
-5.252 0.563 -2.877
2.657 -1.578 -5.159
-1.237 -5.776 1.130
ATOMIC_POSITIONS angstrom
Sr -2.626 0.281 -1.438
Sr -0.619 -2.888 0.565
Sr 1.329 -0.789 -2.580
La 0.000 0.000 0.000
Ru -1.916 -3.396 -3.453
```



Record 2
A plane-wave DFT calculation with GGA-PBE was carried out for a relaxed SrLa2Ru2 crystal. Values from VASP.

Distance to the lowest polymorph of the same formula in meV/atom: 0
Energy of formation in eV/atom: 0.0109

```
&SYSTEM
  ibrav = 0, nat = 10, ntyp = 3
/
ATOMIC_SPECIES
Ru 101.07 Ru.upf
La 138.91 La.upf
Sr 87.62 Sr.upf
CELL_PARAMETERS angstrom
8.433 0.000 0.000
0.000 8.433 0.000
0.000 0.000 3.620
ATOMIC_POSITIONS angstrom
Ru 3.014 7.230 0.000
Ru 5.419 1.203 0.000
Ru 1.203 3.014 0.000
Ru 7.230 5.419 0.000
La 7.207 2.990 1.810
La 1.227 5.443 1.810
La 5.443 7.207 1.810
La 2.990 1.227 1.810
Sr 0.000 0.000 0.000
Sr 4.217 4.217 0.000
```



Record 3
A plane-wave DFT calculation with GGA-PBE was carried out for a relaxed SrLa2Ru crystal. Values from VASP.

Distance to the lowest polymorph of the same formula in meV/atom: 80
Energy of formation in eV/atom: -0.0982

```
&SYSTEM
  ibrav = 0, nat = 4, ntyp = 3
/
ATOMIC_SPECIES
Sr 87.62 Sr.upf
La 138.91 La.upf
Ru 101.07 Ru.upf
CELL_PARAMETERS angstrom
6.593 -0.020 0.000
2.435 6.127 0.000
-3.580 -4.434 3.315
ATOMIC_POSITIONS angstrom
Sr 1.684 2.373 1.658
La 8.362 5.657 0.000
La 5.181 3.505 0.000
Ru 3.764 -0.700 1.658
```



Record 4
A plane-wave DFT calculation with GGA-PBE was carried out for a relaxed Sr2La2Ru crystal. Values from VASP.

Distance to the lowest polymorph of the same formula in meV/atom: 0
Energy of formation in eV/atom: 0.0715

```
&SYSTEM
  ibrav = 0, nat = 10, ntyp = 3
/
ATOMIC_SPECIES
Ru 101.07 Ru.upf
Sr 87.62 Sr.upf
La 138.91 La.upf
CELL_PARAMETERS angstrom
-2.484 0.977 6.937
4.717 -5.209 2.423
4.656 4.685 1.007
ATOMIC_POSITIONS angstrom
Ru 0.000 0.000 0.000
Ru 1.116 -2.116 4.680
Sr 2.412 1.691 3.141
Sr 5.098 -1.042 3.440
Sr 4.476 -1.238 7.227
Sr 1.791 1.495 6.928
La -0.846 -0.262 5.128
La 1.082 -1.508 2.012
La 1.151 -2.724 7.349
La 3.079 -3.970 4.233
```



Record 5
A plane-wave DFT calculation with GGA-PBE was carried out for a relaxed Sr2LaRu crystal. Values from VASP.

Distance to the lowest polymorph of the same formula in meV/atom: 63
Energy of formation in eV/atom: 0.1046

```
&SYSTEM
  ibrav = 0, nat = 4, ntyp = 3
/
ATOMIC_SPECIES
Sr 87.62 Sr.upf
La 138.91 La.upf
Ru 101.07 Ru.upf
CELL_PARAMETERS angstrom
-3.358 0.751 -2.003
-3.566 -6.546 3.523
-4.430 -2.369 6.538
ATOMIC_POSITIONS angstrom
Sr -7.195 -8.022 9.054
Sr -4.799 -5.350 6.038
La -3.678 -1.853 1.514
Ru -7.676 -6.311 6.545
```



Record 6
A plane-wave DFT calculation with GGA-PBE was carried out for a relaxed Sr2LaRu crystal. Values from VASP.

Distance to the lowest polymorph of the same formula in meV/atom: 374
Energy of formation in eV/atom: 0.4161

```
&SYSTEM
  ibrav = 0, nat = 4, ntyp = 3
/
ATOMIC_SPECIES
Sr 87.62 Sr.upf
Ru 101.07 Ru.upf
La 138.91 La.upf
CELL_PARAMETERS angstrom
5.505 -0.033 0.000
0.047 5.505 0.000
-2.776 -2.736 3.888
ATOMIC_POSITIONS angstrom
Sr 0.024 2.752 1.944
Sr 0.000 0.000 0.000
Ru 2.752 -0.017 1.944
La 2.776 2.736 0.000
```



Record 7
A plane-wave DFT calculation with GGA-PBE was carried out for a relaxed SrLa2Ru crystal. Values from VASP.

Distance to the lowest polymorph of the same formula in meV/atom: 0
Energy of formation in eV/atom: -0.1778

```
&SYSTEM
  ibrav = 0, nat = 4, ntyp = 3
/
ATOMIC_SPECIES
Ru 101.07 Ru.upf
La 138.91 La.upf
Sr 87.62 Sr.upf
CELL_PARAMETERS angstrom
4.214 0.000 0.000
-2.107 3.650 0.002
0.000 -0.003 9.723
ATOMIC_POSITIONS angstrom
Ru 0.000 -0.001 4.861
La 2.107 1.216 3.388
La 0.000 2.431 6.336
Sr 0.000 0.000 0.000
```



Record 8
A plane-wave DFT calculation with GGA-PBE was carried out for a relaxed Sr2LaRu crystal. Values from VASP.

Distance to the lowest polymorph of the same formula in meV/atom: 413
Energy of formation in eV/atom: 0.4550

```
&SYSTEM
  ibrav = 0, nat = 4, ntyp = 3
/
ATOMIC_SPECIES
Ru 101.07 Ru.upf
Sr 87.62 Sr.upf
La 138.91 La.upf
CELL_PARAMETERS angstrom
6.539 -0.001 0.000
3.310 5.639 0.000
-4.924 -2.819 3.250
ATOMIC_POSITIONS angstrom
Ru 3.269 0.000 1.625
Sr 4.924 2.819 0.000
Sr 0.000 0.000 0.000
La 1.655 2.820 1.625
```



Question: Look up the distance to the lowest polymorph of the same formula of the sixth one.
Answer: 374 meV/atom